1.
Zr3Zn3O: optimized geometry, PBE.

Cell: 8.6225 8.6225 8.6225 Å, 60.00 60.00 60.00°
Fractional coordinates of all 28 atoms:
1 Zr 0.0641 0.4359 0.0641
2 Zr 0.1859 0.1859 0.8141
3 Zr 0.8141 0.8141 0.1859
4 Zr 0.8141 0.1859 0.8141
5 Zr 0.8141 0.1859 0.1859
6 Zr 0.1859 0.8141 0.8141
7 Zr 0.4359 0.0641 0.0641
8 Zr 0.0641 0.0641 0.4359
9 Zr 0.4359 0.4359 0.0641
10 Zr 0.0641 0.4359 0.4359
11 Zr 0.1859 0.8141 0.1859
12 Zr 0.4359 0.0641 0.4359
13 Zn 0.8319 0.8319 0.8319
14 Zn 0.4181 0.4181 0.7457
15 Zn 0.4181 0.7457 0.4181
16 Zn 0.7457 0.4181 0.4181
17 Zn 0.8319 0.5043 0.8319
18 Zn 0.5043 0.8319 0.8319
19 Zn 0.8319 0.8319 0.5043
20 Zn 0.4181 0.4181 0.4181
21 Zn 0.6250 0.6250 0.6250
22 Zn 0.6250 0.6250 0.1250
23 Zn 0.6250 0.1250 0.6250
24 Zn 0.1250 0.6250 0.6250
25 O 0.1250 0.1250 0.1250
26 O 0.1250 0.1250 0.6250
27 O 0.1250 0.6250 0.1250
28 O 0.6250 0.1250 0.1250

Properties
N(E_F)	22.12	states/eV/cell
energy	-164.53	eV for the cell shown
E_form (uncorrected)	-647	kJ/mol of formula units
mass density	7.12	Mg/m³

---

2.
NdPuHgAu: optimized geometry, PBE.

Cell: 5.2953 5.2953 5.2953 Å, 60.00 60.00 60.00°
Fractional coordinates of all 4 atoms:
1 Nd 0.5000 0.5000 0.5000
2 Au 0.2500 0.2500 0.2500
3 Hg 0.7500 0.7500 0.7500
4 Pu 0.0000 0.0000 0.0000

Properties
N(E_F)	11.88	states/eV/cell
energy	-24.26	eV for the cell shown
relative energy among the computed polymorphs	0.036	eV per atom
formation energy	-38.0	kJ per mole of atoms
mass density	12.43	Mg/m³

---

3.
CdInP2: optimized geometry, PBE.

Cell: 3.9107 5.6741 3.7899 Å, 90.00 90.00 90.00°
Fractional coordinates of all 4 atoms:
1 Cd 0.5000 0.0000 0.5000
2 In 0.0000 0.5000 0.5000
3 P 0.0000 0.0000 0.0000
4 P 0.5000 0.5000 0.0000

Properties
N(E_F)	1.42	states/eV/cell
energy	-12.85	eV for the cell shown
formation energy	39.0	kJ per mole of atoms
mass density	5.71	Mg/m³